# KAgMoF6

A relaxed KAgMoF6 crystal (PBE+U, Alexandria via LeMat-Bulk).

DOS at the Fermi energy, states/eV/f.u.: 6.47
SG: No. 163
VASP energy, Ha/atom: -0.1728

Cell lengths 6.346, 6.346, 8.726 Å; angles 90.00, 90.00, 120.00 degrees
Element x y z (fractional)
K (0.333, 0.667, 0.250)
K (0.667, 0.333, 0.750)
Ag (0.000, 0.000, 0.000)
Ag (0.000, 0.000, 0.500)
Mo (0.333, 0.667, 0.750)
Mo (0.667, 0.333, 0.250)
F (0.076, 0.395, 0.624)
F (0.076, 0.681, 0.876)
F (0.319, 0.395, 0.876)
F (0.319, 0.924, 0.624)
F (0.395, 0.076, 0.124)
F (0.395, 0.319, 0.376)
F (0.605, 0.681, 0.624)
F (0.605, 0.924, 0.876)
F (0.681, 0.076, 0.376)
F (0.681, 0.605, 0.124)
F (0.924, 0.319, 0.124)
F (0.924, 0.605, 0.376)